Entry 1:
The following is a DFT calculation (PBE-GGA) of an optimized crystal structure of TlAu3S5.

Computed properties:
* space group: P6/mmm

Cell and atoms, written as extended XYZ:
```
9
Lattice="6.613 0.000 0.000 -3.307 5.727 0.000 0.000 0.000 6.146" Properties=species:S:1:pos:R:3 pbc="T T T"
Tl 0.000 0.000 0.000
Au -1.653 2.864 3.073
Au 3.307 0.000 3.073
Au 1.653 2.864 3.073
S 0.000 0.000 3.073
S 0.000 3.818 1.575
S 0.000 3.818 4.571
S 3.307 1.909 1.575
S 3.307 1.909 4.571
```

=====

Entry 2:
The following is a DFT calculation (PBE-GGA) of an optimized crystal structure of ErAlPd.

Computed properties:
* space group: F-43m

Cell and atoms, written as extended XYZ:
```
3
Lattice="0.000 3.219 3.219 3.219 0.000 3.219 3.219 3.219 0.000" Properties=species:S:1:pos:R:3 pbc="T T T"
Er 0.000 0.000 0.000
Al 3.219 3.219 3.219
Pd 4.828 4.828 4.828
```

=====

Entry 3:
The following is a DFT calculation (PBE-GGA) of an optimized crystal structure of Ho3In2SnPdPt2.

Computed properties:
* space group: Amm2

Cell and atoms, written as extended XYZ:
```
9
Lattice="3.831 0.000 0.000 0.000 6.633 3.841 0.000 -6.633 3.841" Properties=species:S:1:pos:R:3 pbc="T T T"
Ho 0.000 0.000 0.000
Ho 0.000 -2.730 2.970
Ho 0.000 2.730 2.970
In 1.915 -1.722 5.545
In 1.915 1.722 5.545
Sn 1.915 0.000 2.543
Pd 0.000 0.000 4.503
Pt 1.915 -4.428 4.544
Pt 1.915 4.428 4.544
```

=====

Entry 4:
The following is a DFT calculation (PBE-GGA) of an optimized crystal structure of Tb2YGa3AgIr2.

Computed properties:
* space group: Amm2

Cell and atoms, written as extended XYZ:
```
9
Lattice="3.898 0.000 0.000 0.000 6.343 3.652 0.000 -6.343 3.652" Properties=species:S:1:pos:R:3 pbc="T T T"
Tb 0.000 -3.739 3.652
Tb 0.000 3.739 3.652
Y 0.000 0.000 4.491
Ga 1.949 -1.714 2.494
Ga 1.949 1.714 2.494
Ga 1.949 0.000 6.815
Ag 0.000 0.000 1.495
Ir 1.949 -2.128 5.156
Ir 1.949 2.128 5.156
```

=====

Entry 5:
The following is a DFT calculation (PBE-GGA) of an optimized crystal structure of LiUTlSe3.

Computed properties:
* space group: Cmcm

Cell and atoms, written as extended XYZ:
```
12
Lattice="2.099 -7.063 0.000 2.099 7.063 0.000 0.000 0.000 11.005" Properties=species:S:1:pos:R:3 pbc="T T T"
Li 2.099 6.405 8.254
Li 2.099 -6.405 2.751
U 2.099 0.000 0.000
U 2.099 0.000 5.503
Tl 2.099 3.721 2.751
Tl 2.099 -3.721 8.254
Se 2.099 5.233 6.028
Se 2.099 5.233 10.480
Se 2.099 0.783 8.254
Se 2.099 -0.783 2.751
Se 2.099 -5.233 0.525
Se 2.099 -5.233 4.978
```

=====

Entry 6:
The following is a DFT calculation (PBE-GGA) of an optimized crystal structure of Er4PdPt3.

Computed properties:
* space group: Pm
* energy relative to the elements: -1.233 eV/atom

Cell and atoms, written as extended XYZ:
```
8
Lattice="5.539 0.000 0.000 0.000 4.508 0.000 -0.008 0.000 6.926" Properties=species:S:1:pos:R:3 pbc="T T T"
Er 0.000 0.000 0.000
Er 1.182 0.000 3.454
Er 2.750 2.254 0.964
Er 3.973 2.254 4.377
Pd 2.838 0.000 5.956
Pt 0.072 2.254 1.886
Pt 1.130 2.254 5.373
Pt 3.866 0.000 2.496
```

=====

Entry 7:
The following is a DFT calculation (PBE-GGA) of an optimized crystal structure of BaGdCuTeS2.

Computed properties:
* space group: Cmcm

Cell and atoms, written as extended XYZ:
```
12
Lattice="2.058 -7.378 0.000 2.058 7.378 0.000 0.000 0.000 11.034" Properties=species:S:1:pos:R:3 pbc="T T T"
Ba 2.058 4.182 8.275
Ba 2.058 -4.182 2.758
Gd 0.000 0.000 0.000
Gd 0.000 0.000 5.517
Cu 2.058 0.304 2.758
Cu 2.058 -0.304 8.275
Te 2.058 5.999 2.758
Te 2.058 -5.999 8.275
S 2.058 1.684 0.860
S 2.058 1.684 4.657
S 2.058 -1.684 6.377
S 2.058 -1.684 10.174
```

=====

Entry 8:
The following is a DFT calculation (PBE-GGA) of an optimized crystal structure of HfTc2Sb.

Computed properties:
* space group: F-43m

Cell and atoms, written as extended XYZ:
```
4
Lattice="0.000 3.276 3.276 3.276 0.000 3.276 3.276 3.276 0.000" Properties=species:S:1:pos:R:3 pbc="T T T"
Hf 0.000 0.000 0.000
Tc 1.638 1.638 1.638
Tc 3.276 3.276 3.276
Sb 4.914 4.914 4.914
```

=====

Entry 9:
The following is a DFT calculation (PBE-GGA) of an optimized crystal structure of HfFe2Si2.

Computed properties:
* space group: Pbcm

Cell and atoms, written as extended XYZ:
```
20
Lattice="7.413 0.000 0.000 0.000 7.021 0.000 0.000 0.000 5.012" Properties=species:S:1:pos:R:3 pbc="T T T"
Hf 1.839 0.655 1.253
Hf 1.839 2.855 3.759
Hf 5.574 4.165 1.253
Hf 5.574 6.366 3.759
Fe 0.804 0.121 3.759
Fe 0.804 3.390 1.253
Fe 2.889 5.265 0.000
Fe 2.889 5.265 2.506
Fe 4.524 1.755 0.000
Fe 4.524 1.755 2.506
Fe 6.609 3.631 3.759
Fe 6.609 6.900 1.253
Si 0.423 5.265 0.000
Si 0.423 5.265 2.506
Si 3.072 0.347 3.759
Si 3.072 3.163 1.253
Si 4.341 3.857 3.759
Si 4.341 6.674 1.253
Si 6.990 1.755 0.000
Si 6.990 1.755 2.506
```

=====

Entry 10:
The following is a DFT calculation (PBE-GGA) of an optimized crystal structure of LuW.

Computed properties:
* E above lowest polymorph: 0 meV per atom
* space group: P-6m2
* energy relative to the elements: 0.678 eV/atom

Cell and atoms, written as extended XYZ:
```
2
Lattice="3.026 0.000 0.000 -1.513 2.620 0.000 0.000 0.000 5.093" Properties=species:S:1:pos:R:3 pbc="T T T"
Lu 0.000 0.000 0.000
W 1.513 0.873 2.546
```

=====

Entry 11:
The following is a DFT calculation (PBE-GGA) of an optimized crystal structure of TbCo2B2.

Computed properties:
* space group: I4/mmm

Cell and atoms, written as extended XYZ:
```
5
Lattice="-1.777 1.777 4.722 1.777 -1.777 4.722 1.777 1.777 -4.722" Properties=species:S:1:pos:R:3 pbc="T T T"
Tb 0.000 0.000 0.000
Co 1.777 0.000 2.361
Co 0.000 1.777 2.361
B 0.000 0.000 3.277
B 0.000 0.000 6.166
```

=====

Entry 12:
The following is a DFT calculation (PBE-GGA) of an optimized crystal structure of Pr2SbBrF.

Computed properties:
* space group: P3m1

Cell and atoms, written as extended XYZ:
```
5
Lattice="4.241 0.000 0.000 -2.120 3.673 0.000 0.000 0.000 8.974" Properties=species:S:1:pos:R:3 pbc="T T T"
Pr 0.000 0.000 0.000
Pr 0.000 2.448 5.141
Sb 2.120 1.224 7.087
Br 0.000 2.448 1.925
F 0.000 0.000 4.420
```

=====

Entry 13:
The following is a DFT calculation (PBE-GGA) of an optimized crystal structure of CsFeBi.

Computed properties:
* E above lowest polymorph: 0 meV per atom
* space group: F-43m

Cell and atoms, written as extended XYZ:
```
3
Lattice="0.000 3.557 3.557 3.557 0.000 3.557 3.557 3.557 0.000" Properties=species:S:1:pos:R:3 pbc="T T T"
Cs 0.000 0.000 0.000
Fe 5.335 5.335 5.335
Bi 3.557 3.557 3.557
```

=====

| no. | electronic total energy (eV per atom) |
| --- | --- |
| 1 | -3.46 |
| 2 | -5.12 |
| 3 | -5.50 |
| 4 | -5.74 |
| 5 | -5.35 |
| 6 | -6.43 |
| 7 | -5.13 |
| 8 | -8.50 |
| 9 | -8.15 |
| 10 | -8.06 |
| 11 | -7.00 |
| 12 | -5.42 |
| 13 | -3.54 |